(1)
# NdAl2Ga

An optimized crystal structure of NdAl2Ga (PBE-GGA, Alexandria via LeMat-Bulk).

a b c (Å): 10.438 10.438 10.438
angles (deg): 17.67 17.67 17.67
Fractional coordinates of all 4 atoms:
Nd: 0.000 0.000 0.000
Al: 0.100 0.100 0.100
Al: 0.900 0.900 0.900
Ga: 0.500 0.500 0.500

N(E_F)	0.58	states/eV per atom
calculated formation energy	0.250	eV/atom
spin magnetization	0.000	μB/atom
offset from the most stable computed form	663	meV per atom



(2)
# Nd6TmIn3

An optimized crystal structure of Nd6TmIn3 (PBE-GGA, Alexandria via LeMat-Bulk).

a b c (Å): 10.277 10.277 6.808
angles (deg): 90.00 90.00 112.64
Fractional coordinates of all 20 atoms:
Nd: 0.028 0.972 0.500
Nd: 0.044 0.405 0.789
Nd: 0.322 0.338 0.533
Nd: 0.338 0.322 0.033
Nd: 0.338 0.662 0.317
Nd: 0.405 0.044 0.289
Nd: 0.595 0.956 0.789
Nd: 0.662 0.338 0.817
Nd: 0.662 0.678 0.533
Nd: 0.678 0.662 0.033
Nd: 0.956 0.595 0.289
Nd: 0.972 0.028 0.000
Tm: 0.209 0.791 0.932
Tm: 0.791 0.209 0.432
In: 0.075 0.340 0.258
In: 0.340 0.075 0.758
In: 0.382 0.618 0.800
In: 0.618 0.382 0.300
In: 0.660 0.925 0.258
In: 0.925 0.660 0.758

N(E_F)	1.27	states/eV per atom
calculated formation energy	-0.174	eV/atom
spin magnetization	0.000	μB/atom



(3)
# K2LiZn

An optimized crystal structure of K2LiZn (PBE-GGA, Alexandria via LeMat-Bulk).

a b c (Å): 3.907 3.907 10.114
angles (deg): 90.00 90.00 90.00
Fractional coordinates of all 4 atoms:
K: 0.000 0.000 0.000
K: 0.500 0.500 0.399
Li: 0.000 0.000 0.677
Zn: 0.500 0.500 0.747

N(E_F)	0.77	states/eV per atom
calculated formation energy	0.104	eV/atom
spin magnetization	0.000	μB/atom



(4)
# UAgBO5

An optimized crystal structure of UAgBO5 (PBE-GGA, Alexandria via LeMat-Bulk).

a b c (Å): 5.563 5.563 7.803
angles (deg): 105.89 105.89 99.25
Fractional coordinates of all 16 atoms:
U: 0.000 0.500 0.000
U: 0.500 0.000 0.500
Ag: 0.087 0.913 0.750
Ag: 0.913 0.087 0.250
B: 0.430 0.570 0.750
B: 0.570 0.430 0.250
O: 0.168 0.832 0.250
O: 0.262 0.615 0.869
O: 0.292 0.357 0.132
O: 0.357 0.292 0.632
O: 0.385 0.738 0.631
O: 0.615 0.262 0.369
O: 0.643 0.708 0.368
O: 0.708 0.643 0.868
O: 0.738 0.385 0.131
O: 0.832 0.168 0.750

energy relative to the elements, uncorrected	-2230	meV per atom
spin magnetization	0.000	μB/atom



(5)
# Pr2AlGa6Ag

An optimized crystal structure of Pr2AlGa6Ag (PBE-GGA, Alexandria via LeMat-Bulk).

a b c (Å): 12.709 12.709 12.709
angles (deg): 29.45 29.45 29.45
Fractional coordinates of all 20 atoms:
Pr: 0.110 0.110 0.110
Pr: 0.293 0.293 0.293
Pr: 0.707 0.707 0.707
Pr: 0.890 0.890 0.890
Al: 0.429 0.429 0.429
Al: 0.571 0.571 0.571
Ga: 0.053 0.666 0.666
Ga: 0.231 0.231 0.657
Ga: 0.231 0.657 0.231
Ga: 0.334 0.334 0.947
Ga: 0.334 0.947 0.334
Ga: 0.343 0.769 0.769
Ga: 0.657 0.231 0.231
Ga: 0.666 0.053 0.666
Ga: 0.666 0.666 0.053
Ga: 0.769 0.343 0.769
Ga: 0.769 0.769 0.343
Ga: 0.947 0.334 0.334
Ag: 0.000 0.000 0.000
Ag: 0.500 0.500 0.500

N(E_F)	0.54	states/eV per atom
calculated formation energy	-0.254	eV/atom
spin magnetization	0.000	μB/atom



(6)
# TcTe4Rh

An optimized crystal structure of TcTe4Rh (PBE-GGA, Alexandria via LeMat-Bulk).

a b c (Å): 6.120 6.120 6.120
angles (deg): 60.00 60.00 60.00
Fractional coordinates of all 6 atoms:
Tc: 0.000 0.000 0.000
Te: 0.127 0.624 0.624
Te: 0.624 0.127 0.624
Te: 0.624 0.624 0.127
Te: 0.624 0.624 0.624
Rh: 0.250 0.250 0.250

energy relative to the elements, uncorrected	1368	meV per atom
N(E_F)	1.28	states/eV per atom
spin magnetization	0.748	μB/atom
offset from the most stable computed form	1680	meV per atom



(7)
# Cs3PCl

An optimized crystal structure of Cs3PCl (PBE-GGA, Alexandria via LeMat-Bulk).

a b c (Å): 6.764 6.764 6.764
angles (deg): 90.00 90.00 90.00
Fractional coordinates of all 5 atoms:
Cs: 0.000 0.000 0.500
Cs: 0.000 0.500 0.000
Cs: 0.500 0.000 0.000
P: 0.000 0.000 0.000
Cl: 0.500 0.500 0.500

energy relative to the elements, uncorrected	-620	meV per atom
N(E_F)	0.44	states/eV per atom
spin magnetization	0.200	μB/atom
offset from the most stable computed form	0	meV per atom



(8)
# LiTbGdTc

An optimized crystal structure of LiTbGdTc (PBE-GGA, Alexandria via LeMat-Bulk).

a b c (Å): 4.956 4.956 4.956
angles (deg): 60.00 60.00 60.00
Fractional coordinates of all 4 atoms:
Li: 0.000 0.000 0.000
Tb: 0.250 0.250 0.250
Gd: 0.750 0.750 0.750
Tc: 0.500 0.500 0.500

N(E_F)	0.89	states/eV per atom
calculated formation energy	-0.013	eV/atom
spin magnetization	1.778	μB/atom



(9)
# Sr2TaW

An optimized crystal structure of Sr2TaW (PBE-GGA, Alexandria via LeMat-Bulk).

a b c (Å): 2.959 5.532 5.882
angles (deg): 90.00 91.63 90.00
Fractional coordinates of all 4 atoms:
Sr: 0.000 0.000 0.247
Sr: 0.000 0.000 0.753
Ta: 0.500 0.500 0.500
W: 0.500 0.500 0.000

N(E_F)	1.16	states/eV per atom
calculated formation energy	1.278	eV/atom
spin magnetization	0.000	μB/atom
offset from the most stable computed form	724	meV per atom



(10)
# SmHo8Tm2

An optimized crystal structure of SmHo8Tm2 (PBE-GGA, Alexandria via LeMat-Bulk).

a b c (Å): 9.277 9.277 9.277
angles (deg): 145.77 128.47 63.33
Fractional coordinates of all 11 atoms:
Sm: 0.000 0.000 0.000
Ho: 0.154 0.861 0.293
Ho: 0.164 0.664 0.500
Ho: 0.295 0.500 0.795
Ho: 0.433 0.139 0.293
Ho: 0.567 0.861 0.707
Ho: 0.705 0.500 0.205
Ho: 0.836 0.336 0.500
Ho: 0.846 0.139 0.707
Tm: 0.300 0.300 0.000
Tm: 0.700 0.700 0.000

N(E_F)	1.42	states/eV per atom
calculated formation energy	0.117	eV/atom
spin magnetization	0.000	μB/atom
offset from the most stable computed form	0	meV per atom



(11)
# CaRh2Br

An optimized crystal structure of CaRh2Br (PBE-GGA, Alexandria via LeMat-Bulk).

a b c (Å): 3.494 3.494 6.118
angles (deg): 90.00 90.00 90.00
Fractional coordinates of all 4 atoms:
Ca: 0.000 0.000 0.000
Rh: 0.500 0.500 0.271
Rh: 0.500 0.500 0.729
Br: 0.000 0.000 0.500

energy relative to the elements, uncorrected	166	meV per atom
N(E_F)	1.20	states/eV per atom
spin magnetization	0.000	μB/atom
offset from the most stable computed form	478	meV per atom



(12)
# Ce2SmGd

An optimized crystal structure of Ce2SmGd (PBE-GGA, Alexandria via LeMat-Bulk).

a b c (Å): 5.679 5.679 5.679
angles (deg): 60.00 60.00 60.00
Fractional coordinates of all 4 atoms:
Ce: 0.250 0.250 0.250
Ce: 0.750 0.750 0.750
Sm: 0.000 0.000 0.000
Gd: 0.500 0.500 0.500

N(E_F)	4.31	states/eV per atom
calculated formation energy	0.254	eV/atom
spin magnetization	2.629	μB/atom
offset from the most stable computed form	144	meV per atom



(13)
# CaMg3Pb3

An optimized crystal structure of CaMg3Pb3 (PBE-GGA, Alexandria via LeMat-Bulk).

a b c (Å): 7.198 7.198 7.756
angles (deg): 90.00 90.00 94.32
Fractional coordinates of all 14 atoms:
Ca: 0.214 0.214 0.000
Ca: 0.786 0.786 0.000
Mg: 0.213 0.787 0.500
Mg: 0.229 0.229 0.500
Mg: 0.271 0.729 0.000
Mg: 0.729 0.271 0.000
Mg: 0.771 0.771 0.500
Mg: 0.787 0.213 0.500
Pb: 0.000 0.500 0.259
Pb: 0.000 0.500 0.741
Pb: 0.500 0.000 0.259
Pb: 0.500 0.000 0.741
Pb: 0.500 0.500 0.268
Pb: 0.500 0.500 0.732

N(E_F)	0.54	states/eV per atom
calculated formation energy	-0.109	eV/atom
spin magnetization	0.000	μB/atom
offset from the most stable computed form	0	meV per atom



(14)
# NaCdNiPb2

An optimized crystal structure of NaCdNiPb2 (PBE-GGA, Alexandria via LeMat-Bulk).

a b c (Å): 5.155 5.155 5.127
angles (deg): 90.00 90.00 90.00
Fractional coordinates of all 5 atoms:
Na: 0.000 0.000 0.000
Cd: 0.500 0.500 0.000
Ni: 0.500 0.500 0.500
Pb: 0.000 0.500 0.500
Pb: 0.500 0.000 0.500

N(E_F)	0.58	states/eV per atom
calculated formation energy	0.037	eV/atom
spin magnetization	0.000	μB/atom



(15)
# Y3ZrZn4

An optimized crystal structure of Y3ZrZn4 (PBE-GGA, Alexandria via LeMat-Bulk).

a b c (Å): 3.522 3.522 14.053
angles (deg): 90.00 90.00 90.00
Fractional coordinates of all 8 atoms:
Y: 0.000 0.000 0.000
Y: 0.000 0.000 0.259
Y: 0.000 0.000 0.741
Zr: 0.000 0.000 0.500
Zn: 0.500 0.500 0.129
Zn: 0.500 0.500 0.392
Zn: 0.500 0.500 0.608
Zn: 0.500 0.500 0.871

N(E_F)	1.09	states/eV per atom
calculated formation energy	-0.317	eV/atom
spin magnetization	0.000	μB/atom



(16)
# CuReNi2

An optimized crystal structure of CuReNi2 (PBE-GGA, Alexandria via LeMat-Bulk).

a b c (Å): 2.622 2.622 7.071
angles (deg): 90.00 90.00 90.00
Fractional coordinates of all 4 atoms:
Cu: 0.000 0.000 0.000
Re: 0.000 0.000 0.500
Ni: 0.500 0.500 0.243
Ni: 0.500 0.500 0.757

N(E_F)	0.70	states/eV per atom
calculated formation energy	-0.012	eV/atom
spin magnetization	0.000	μB/atom
offset from the most stable computed form	0	meV per atom



(17)
# TaSiP3

An optimized crystal structure of TaSiP3 (PBE-GGA, Alexandria via LeMat-Bulk).

a b c (Å): 4.809 4.809 4.809
angles (deg): 90.00 90.00 90.00
Fractional coordinates of all 5 atoms:
Ta: 0.000 0.000 0.000
Si: 0.500 0.500 0.500
P: 0.000 0.000 0.500
P: 0.000 0.500 0.000
P: 0.500 0.000 0.000

energy relative to the elements, uncorrected	697	meV per atom
N(E_F)	0.67	states/eV per atom
spin magnetization	0.000	μB/atom
offset from the most stable computed form	0	meV per atom



(18)
# HfSc14Ti

An optimized crystal structure of HfSc14Ti (PBE-GGA, Alexandria via LeMat-Bulk).

a b c (Å): 10.230 6.561 6.561
angles (deg): 59.76 90.00 90.00
Fractional coordinates of all 16 atoms:
Hf: 0.000 0.000 0.000
Sc: 0.000 0.001 0.496
Sc: 0.000 0.496 0.001
Sc: 0.241 0.168 0.665
Sc: 0.241 0.665 0.168
Sc: 0.243 0.662 0.662
Sc: 0.249 0.163 0.163
Sc: 0.500 0.498 0.498
Sc: 0.500 0.499 0.997
Sc: 0.500 0.997 0.499
Sc: 0.500 0.998 0.998
Sc: 0.751 0.163 0.163
Sc: 0.757 0.662 0.662
Sc: 0.759 0.168 0.665
Sc: 0.759 0.665 0.168
Ti: 0.000 0.497 0.497

N(E_F)	1.82	states/eV per atom
calculated formation energy	0.020	eV/atom
spin magnetization	0.200	μB/atom



(19)
# Y2HRu

An optimized crystal structure of Y2HRu (PBE-GGA, Alexandria via LeMat-Bulk).

a b c (Å): 8.203 8.203 8.203
angles (deg): 23.13 23.13 23.13
Fractional coordinates of all 4 atoms:
Y: 0.105 0.105 0.105
Y: 0.895 0.895 0.895
H: 0.500 0.500 0.500
Ru: 0.000 0.000 0.000

N(E_F)	0.86	states/eV per atom
spin magnetization	0.001	μB/atom
offset from the most stable computed form	583	meV per atom



(20)
# TlGa4Sn

An optimized crystal structure of TlGa4Sn (PBE-GGA, Alexandria via LeMat-Bulk).

a b c (Å): 4.457 4.457 8.259
angles (deg): 90.00 90.00 120.00
Fractional coordinates of all 6 atoms:
Tl: 0.000 0.000 0.000
Ga: 0.333 0.667 0.262
Ga: 0.333 0.667 0.738
Ga: 0.667 0.333 0.262
Ga: 0.667 0.333 0.738
Sn: 0.000 0.000 0.500

N(E_F)	0.58	states/eV per atom
calculated formation energy	0.073	eV/atom
spin magnetization	0.000	μB/atom
offset from the most stable computed form	7	meV per atom



(21)
# InGe2Pb2

An optimized crystal structure of InGe2Pb2 (PBE-GGA, Alexandria via LeMat-Bulk).

a b c (Å): 9.835 9.835 9.835
angles (deg): 157.86 157.86 31.52
Fractional coordinates of all 5 atoms:
In: 0.000 0.000 0.000
Ge: 0.250 0.750 0.500
Ge: 0.750 0.250 0.500
Pb: 0.390 0.390 0.000
Pb: 0.610 0.610 0.000

N(E_F)	0.59	states/eV per atom
calculated formation energy	0.162	eV/atom
spin magnetization	0.000	μB/atom
offset from the most stable computed form	14	meV per atom



(22)
# ThAl2Pd2Pt

An optimized crystal structure of ThAl2Pd2Pt (PBE-GGA, Alexandria via LeMat-Bulk).

a b c (Å): 4.684 4.684 5.622
angles (deg): 90.00 90.00 90.00
Fractional coordinates of all 6 atoms:
Th: 0.000 0.000 0.000
Al: 0.000 0.500 0.500
Al: 0.500 0.000 0.500
Pd: 0.500 0.500 0.241
Pd: 0.500 0.500 0.759
Pt: 0.000 0.000 0.500

N(E_F)	0.34	states/eV per atom
calculated formation energy	-0.626	eV/atom
spin magnetization	0.000	μB/atom



(23)
# MgPd4Au2

An optimized crystal structure of MgPd4Au2 (PBE-GGA, Alexandria via LeMat-Bulk).

a b c (Å): 10.973 4.930 11.380
angles (deg): 72.68 25.40 81.92
Fractional coordinates of all 14 atoms:
Mg: 0.000 0.000 0.000
Mg: 0.250 0.250 0.250
Pd: 0.183 0.779 0.503
Pd: 0.224 0.266 0.969
Pd: 0.266 0.224 0.541
Pd: 0.281 0.709 0.026
Pd: 0.709 0.281 0.984
Pd: 0.715 0.747 0.471
Pd: 0.747 0.715 0.067
Pd: 0.779 0.183 0.535
Au: 0.306 0.668 0.646
Au: 0.604 0.870 0.944
Au: 0.668 0.306 0.380
Au: 0.870 0.604 0.582

N(E_F)	0.61	states/eV per atom
calculated formation energy	-0.205	eV/atom
spin magnetization	0.000	μB/atom



(24)
# Tl2TcBr

An optimized crystal structure of Tl2TcBr (PBE-GGA, Alexandria via LeMat-Bulk).

a b c (Å): 5.165 3.381 6.125
angles (deg): 90.00 103.23 90.00
Fractional coordinates of all 4 atoms:
Tl: 0.000 0.000 0.000
Tl: 0.500 0.500 0.500
Tc: 0.000 0.000 0.500
Br: 0.500 0.500 0.000

energy relative to the elements, uncorrected	556	meV per atom
N(E_F)	0.55	states/eV per atom
spin magnetization	0.665	μB/atom
offset from the most stable computed form	215	meV per atom



(25)
# LaRe2Mo

An optimized crystal structure of LaRe2Mo (PBE-GGA, Alexandria via LeMat-Bulk).

a b c (Å): 5.594 5.594 5.594
angles (deg): 147.68 126.88 63.57
Fractional coordinates of all 4 atoms:
La: 0.000 0.000 0.000
Re: 0.273 0.773 0.500
Re: 0.727 0.227 0.500
Mo: 0.500 0.500 0.000

N(E_F)	1.05	states/eV per atom
calculated formation energy	0.644	eV/atom
spin magnetization	0.000	μB/atom
offset from the most stable computed form	279	meV per atom



Number 1: calculated volume 91.41 Å³ per cell. Number 2: calculated volume 663.62 Å³ per cell. Number 3: calculated volume 154.36 Å³ per cell. Number 4: calculated volume 216.04 Å³ per cell. Number 5: calculated volume 439.20 Å³ per cell. Number 6: calculated volume 162.11 Å³ per cell. Number 7: calculated volume 309.47 Å³ per cell. Number 8: calculated volume 86.09 Å³ per cell. Number 9: calculated volume 96.25 Å³ per cell. Number 10: calculated volume 347.78 Å³ per cell. Number 11: calculated volume 74.70 Å³ per cell. Number 12: calculated volume 129.48 Å³ per cell. Number 13: calculated volume 400.73 Å³ per cell. Number 14: calculated volume 136.22 Å³ per cell. Number 15: calculated volume 174.29 Å³ per cell. Number 16: calculated volume 48.60 Å³ per cell. Number 17: calculated volume 111.21 Å³ per cell. Number 18: calculated volume 380.48 Å³ per cell. Number 19: calculated volume 74.77 Å³ per cell. Number 20: calculated volume 142.12 Å³ per cell. Number 21: calculated volume 135.08 Å³ per cell. Number 22: calculated volume 123.37 Å³ per cell. Number 23: calculated volume 239.42 Å³ per cell. Number 24: calculated volume 104.14 Å³ per cell. Number 25: calculated volume 74.07 Å³ per cell.